Record 1
This record from the Alexandria database describes crystalline ZrCd2Hg at its relaxed geometry. The functional is GGA-PBEsol.

The structure belongs to space group P4/mmm (No. 123); the cell edges are 4.2789, 4.2789 and 4.4585 Å and the angles 90.00°, 90.00° and 90.00°. The distinct sites, in fractional coordinates, are Zr at (0.0000, 0.0000, 0.0000), Cd at (0.0000, 0.5000, 0.5000) and Hg at (0.5000, 0.5000, 0.0000).

The energy of formation from the pure elements comes out at -181 meV per atom. The calculation puts the uncorrected energy at -0.11735 hartree per atom.



Record 2
This record from the Alexandria database describes crystalline KRb2Au2 at its relaxed geometry. The functional is GGA-PBEsol.

The structure belongs to space group P4/mbm (No. 127); the cell edges are 9.5646, 9.5646 and 3.8596 Å and the angles 90.00°, 90.00° and 90.00°. The distinct sites, in fractional coordinates, are K at (0.0000, 0.0000, 0.0000), Rb at (0.1301, 0.3699, 0.0000) and Au at (0.1686, 0.6686, 0.5000).

The energy of formation from the pure elements comes out at -58 meV per atom. The calculation puts the distance to the lowest polymorph of the same formula at 0 meV per atom. The calculation puts the uncorrected energy at -0.08320 hartree per atom.



Record 3
This record from the Alexandria database describes crystalline CaH2Pd at its relaxed geometry. The functional is GGA-PBEsol.

The structure belongs to space group P4/mmm (No. 123); the cell edges are 3.6771, 3.6771 and 3.4390 Å and the angles 90.00°, 90.00° and 90.00°. The distinct sites, in fractional coordinates, are Ca at (0.0000, 0.0000, 0.0000), H at (0.0000, 0.5000, 0.5000) and Pd at (0.5000, 0.5000, 0.5000).

The calculation puts the uncorrected energy at -0.15696 hartree per atom.



Record 4
This record from the Alexandria database describes crystalline Cs3CrPb at its relaxed geometry. The functional is GGA-PBEsol.

The structure belongs to space group Pm-3m (No. 221); the cell edges are 6.7963, 6.7963 and 6.7963 Å and the angles 90.00°, 90.00° and 90.00°. The distinct sites, in fractional coordinates, are Cs at (0.0000, 0.0000, 0.5000), Cr at (0.0000, 0.0000, 0.0000) and Pb at (0.5000, 0.5000, 0.5000).

The energy of formation from the pure elements comes out at 869 meV per atom. The calculation puts the uncorrected energy at -0.09352 hartree per atom.



Record 5
This record from the Alexandria database describes crystalline CaPbS2 at its relaxed geometry. The functional is GGA-PBEsol.

The structure belongs to space group I-42d (No. 122); the cell edges are 6.3191, 6.3191 and 12.9511 Å and the angles 90.00°, 90.00° and 90.00°. The distinct sites, in fractional coordinates, are Ca at (0.0000, 0.0000, 0.0000), Pb at (0.0000, 0.0000, 0.5000) and S at (0.2325, 0.2500, 0.1250).

The formation energy (no corrections) comes out at -4.29 eV/f.u. The calculation puts the uncorrected energy at -0.17632 hartree per atom.



Record 6
This record from the Alexandria database describes crystalline NaAlSiO4 at its relaxed geometry. The functional is GGA-PBEsol.

The structure belongs to space group P2_13 (No. 198); the cell edges are 7.3662, 7.3662 and 7.3662 Å and the angles 90.00°, 90.00° and 90.00°. The distinct sites, in fractional coordinates, are Na at (0.2284, 0.2716, 0.7284), Al at (0.2158, 0.7158, 0.7842), Si at (0.0224, 0.0224, 0.0224), O at (0.0276, 0.6286, 0.6660) and O at (0.1486, 0.1486, 0.1486).

The calculation puts the distance to the lowest polymorph of the same formula at 15 meV per atom. The formation energy (no corrections) comes out at -19.14 eV/f.u. The calculation puts the uncorrected energy at -0.26974 hartree per atom.